Density functional theory data (PBE-GGA) for a geometry-optimized GeSI2O structure.

a b c (Å): 5.7694 5.7694 3.6871
angles (deg): 90.00 90.00 90.00
Fractional positions:
I (0.0000, 0.5000, 0.0000)
I (0.5000, 0.0000, 0.0000)
Ge (0.0000, 0.0000, 0.0000)
S (0.5000, 0.5000, 0.5000)
O (0.0000, 0.0000, 0.5000)

Results
* theoretical density: 5.07 g/cm3
* energy relative to the elements, uncorrected: 0.220 eV per atom
* total magnetic moment: 1.191 μB/cell